First-principles (GGA-PBE) data for a relaxed TlZnPd3 crystal, as listed in Alexandria.

```
data_TlZnPd3
_chemical_formula_sum 'Tl1 Zn1 Pd3'
_symmetry_space_group_name_H-M 'P m -3 m'
_symmetry_Int_Tables_number 221
_symmetry_space_group_name_Hall '-P 4 2 3'
_cell_length_a 5.0462
_cell_length_b 5.0462
_cell_length_c 5.0462
_cell_angle_alpha 90.00
_cell_angle_beta 90.00
_cell_angle_gamma 90.00
loop_
_atom_site_label
_atom_site_type_symbol
_atom_site_fract_x
_atom_site_fract_y
_atom_site_fract_z
Tl1 Tl 0.0000 0.0000 0.0000
Zn1 Zn 0.5000 0.5000 0.5000
Pd1 Pd 0.0000 0.0000 0.5000
```

The calculation puts the energy above the most stable polymorph in this dataset at 1052.8 meV per atom. As for the density: 7.61 g/cm3. Its formation energy is 829 meV per atom. The volume comes out at 128.5 Å³ per cell.